1.
First-principles (GGA+U) data for an optimized crystal structure of Tc2WO8, as listed in Alexandria.

Computed properties:
DFT total energy = -7.462 eV/atom

a = 4.8624 Å, b = 5.6048 Å, c = 5.6048 Å
α = 62.03°, β = 77.94°, γ = 77.94°
Last column: magnetic moment on the atom in μB.
Sites, in units of the cell vectors:
O (0.2842, 0.6241, 0.6241)  0.06
Tc (0.5113, 0.7350, 0.7350)  0.40
O (0.2519, 0.1047, 0.6484)  0.00
O (0.7627, 0.8670, 0.8670)  -0.04
O (0.2373, 0.1330, 0.1330)  -0.04
O (0.7158, 0.3759, 0.3759)  0.06
O (0.2519, 0.6484, 0.1047)  0.00
O (0.7481, 0.3516, 0.8953)  0.00
O (0.7481, 0.8953, 0.3516)  0.00
Tc (0.4887, 0.2650, 0.2650)  0.40
W (0.0000, 0.0000, 0.0000)  0.23

***

2.
First-principles (GGA+U) data for an optimized crystal structure of InGe2MoO8, as listed in Alexandria.

Computed properties:
DFT total energy = -6.381 eV/atom

a = 5.7039 Å, b = 5.7039 Å, c = 5.7039 Å
α = 107.70°, β = 107.70°, γ = 113.07°
Last column: magnetic moment on the atom in μB.
Sites, in units of the cell vectors:
O (0.3115, 0.5052, 0.1938)  0.01
O (0.3115, 0.1177, 0.8062)  0.01
O (0.7194, 0.0419, 0.6774)  -0.01
O (0.8823, 0.6885, 0.1938)  0.01
O (0.4948, 0.6885, 0.8062)  0.01
O (0.9581, 0.6355, 0.6774)  -0.01
Ge (0.5000, 0.5000, 0.0000)  0.00
O (0.9581, 0.2806, 0.3226)  -0.01
Mo (0.2500, 0.7500, 0.5000)  1.00
Ge (0.7500, 0.2500, 0.5000)  0.00
O (0.3645, 0.0419, 0.3226)  -0.01
In (0.0000, 0.0000, 0.0000)  0.00